A relaxed LiHf3Cu crystal, computed with GGA-PBE.

Results
The value obtained for the spin magnetization is 0.31 μB per atom. The value obtained for the total energy is -32.310 eV per cell. Its space group is Pm-3m, No. 221. Its relative energy among the computed polymorphs is 0.00 kcal/mol of atoms.

a = 4.910 Å, b = 4.910 Å, c = 4.910 Å
α = 90.00°, β = 90.00°, γ = 90.00°
Positions (direct):
Cu (0.000, 0.000, 0.000)
Hf (0.000, 0.500, 0.000)
Hf (0.500, 0.000, 0.000)
Hf (0.000, 0.000, 0.500)
Li (0.500, 0.500, 0.500)

---

A relaxed Li2HfCu crystal, computed with GGA-PBE.

Results
The value obtained for the spin magnetization is 0.00 μB per atom. The value obtained for the total energy is -16.396 eV per cell. Its space group is Fm-3m, No. 225. Its relative energy among the computed polymorphs is 2.74 kcal/mol of atoms.

a = 4.384 Å, b = 4.384 Å, c = 4.384 Å
α = 60.00°, β = 60.00°, γ = 60.00°
Positions (direct):
Hf (0.500, 0.500, 0.500)
Li (0.750, 0.750, 0.750)
Li (0.250, 0.250, 0.250)
Cu (0.000, 0.000, 0.000)

---

A relaxed LiHfMgCu crystal, computed with GGA-PBE.

Results
The value obtained for the spin magnetization is 0.00 μB per atom. The value obtained for the total energy is -17.483 eV per cell. Its space group is F-43m, No. 216.

a = 4.534 Å, b = 4.534 Å, c = 4.534 Å
α = 60.00°, β = 60.00°, γ = 60.00°
Positions (direct):
Cu (0.500, 0.500, 0.500)
Mg (0.750, 0.750, 0.750)
Li (0.000, 0.000, 0.000)
Hf (0.250, 0.250, 0.250)

---

A relaxed LiHf2CuN crystal, computed with GGA-PBE.

Results
The value obtained for the spin magnetization is 0.00 μB per atom. The value obtained for the energy relative to the elements, uncorrected is -0.6170 eV/atom. The value obtained for the total energy is -37.327 eV per cell. Its space group is P4/mmm, No. 123.

a = 4.378 Å, b = 4.378 Å, c = 3.812 Å
α = 90.00°, β = 90.00°, γ = 90.00°
Positions (direct):
Cu (0.500, 0.500, 0.500)
Hf (0.500, 0.000, 0.000)
Hf (0.000, 0.500, 0.000)
N (0.000, 0.000, 0.000)
Li (0.000, 0.000, 0.500)

---

A relaxed LiHfCuNi crystal, computed with GGA-PBE.

Results
The value obtained for the spin magnetization is 0.00 μB per atom. The value obtained for the total energy is -22.248 eV per cell. Its space group is F-43m, No. 216.

a = 4.343 Å, b = 4.343 Å, c = 4.343 Å
α = 60.00°, β = 60.00°, γ = 60.00°
Positions (direct):
Li (0.500, 0.500, 0.500)
Cu (0.250, 0.250, 0.250)
Hf (0.000, 0.000, 0.000)
Ni (0.750, 0.750, 0.750)

---

A relaxed Li2HfCuO4 crystal, computed with GGA-PBE.

Results
The value obtained for the spin magnetization is 0.12 μB per atom. The value obtained for the energy relative to the elements, uncorrected is -2.0649 eV/atom. The value obtained for the total energy is -54.229 eV per cell. Its space group is I-4, No. 82.

a = 4.992 Å, b = 4.992 Å, c = 4.992 Å
α = 93.17°, β = 118.19°, γ = 118.19°
Positions (direct):
Cu (0.000, 0.500, 0.500)
Li (0.500, 0.750, 0.250)
Li (0.000, 0.000, 0.000)
O (0.499, 0.868, 0.846)
O (0.978, 0.631, 0.132)
O (0.501, 0.347, 0.369)
O (0.022, 0.154, 0.653)
Hf (0.500, 0.250, 0.750)

---

A relaxed LiHfCuOs2 crystal, computed with GGA-PBE.

Results
The value obtained for the spin magnetization is 0.00 μB per atom. The value obtained for the total energy is -33.315 eV per cell. Its space group is P4/mmm, No. 123.

a = 4.156 Å, b = 4.307 Å, c = 4.156 Å
α = 90.00°, β = 90.00°, γ = 90.00°
Positions (direct):
Os (0.500, 0.000, 0.000)
Os (0.000, 0.000, 0.500)
Hf (0.000, 0.500, 0.000)
Li (0.000, 0.000, 0.000)
Cu (0.500, 0.500, 0.500)

---

A relaxed LiHfCuPd crystal, computed with GGA-PBE.

Results
The value obtained for the spin magnetization is 0.00 μB per atom. The value obtained for the total energy is -22.420 eV per cell. Its space group is F-43m, No. 216.

a = 4.472 Å, b = 4.472 Å, c = 4.472 Å
α = 60.00°, β = 60.00°, γ = 60.00°
Positions (direct):
Pd (0.750, 0.750, 0.750)
Hf (0.000, 0.000, 0.000)
Li (0.500, 0.500, 0.500)
Cu (0.250, 0.250, 0.250)

---

A relaxed LiHf2CuPt2 crystal, computed with GGA-PBE.

Results
The value obtained for the spin magnetization is 0.00 μB per atom. The value obtained for the total energy is -84.805 eV per cell. Its space group is Ibam, No. 72.

a = 5.401 Å, b = 5.282 Å, c = 8.120 Å
α = 108.98°, β = 109.43°, γ = 90.00°
Positions (direct):
Li (0.000, 0.750, 0.000)
Li (0.000, 0.250, 0.000)
Pt (0.938, 0.140, 0.280)
Pt (0.341, 0.640, 0.280)
Pt (0.659, 0.360, 0.720)
Pt (0.062, 0.860, 0.720)
Hf (0.134, 0.329, 0.659)
Hf (0.866, 0.671, 0.341)
Hf (0.476, 0.171, 0.341)
Hf (0.524, 0.829, 0.659)
Cu (0.500, 0.750, 0.000)
Cu (0.500, 0.250, 0.000)

---

A relaxed LiHfCuPt crystal, computed with GGA-PBE.

Results
The value obtained for the spin magnetization is 0.00 μB per atom. The value obtained for the total energy is -24.139 eV per cell. Its space group is F-43m, No. 216.

a = 4.464 Å, b = 4.464 Å, c = 4.464 Å
α = 60.00°, β = 60.00°, γ = 60.00°
Positions (direct):
Hf (0.000, 0.000, 0.000)
Cu (0.250, 0.250, 0.250)
Li (0.500, 0.500, 0.500)
Pt (0.750, 0.750, 0.750)

---

A relaxed LiHfCu2S4 crystal, computed with GGA-PBE.

Results
The value obtained for the spin magnetization is 0.00 μB per atom. The value obtained for the energy relative to the elements, uncorrected is -0.8237 eV/atom. The value obtained for the total energy is -43.159 eV per cell. Its space group is Fmm2, No. 42.

a = 5.077 Å, b = 5.077 Å, c = 6.240 Å
α = 114.16°, β = 114.16°, γ = 89.65°
Positions (direct):
S (0.169, 0.169, 0.489)
S (0.680, 0.680, 0.511)
S (0.455, 0.943, 0.000)
S (0.943, 0.455, 0.000)
Cu (0.665, 0.165, 0.500)
Cu (0.165, 0.665, 0.500)
Hf (0.975, 0.975, 0.000)
Li (0.445, 0.445, 0.000)

---

A relaxed Li2HfCu2S4 crystal, computed with GGA-PBE.

Results
The value obtained for the spin magnetization is 0.00 μB per atom. The value obtained for the energy relative to the elements, uncorrected is -1.0440 eV/atom. The value obtained for the total energy is -47.879 eV per cell. Its space group is C2/m, No. 12.

a = 3.656 Å, b = 7.040 Å, c = 7.122 Å
α = 118.84°, β = 104.87°, γ = 90.00°
Positions (direct):
Li (0.844, 0.469, 0.688)
Li (0.156, 0.531, 0.312)
S (0.782, 0.782, 0.564)
S (0.218, 0.218, 0.436)
S (0.511, 0.266, 0.022)
S (0.489, 0.734, 0.978)
Hf (0.000, 0.000, 0.000)
Cu (0.676, 0.975, 0.352)
Cu (0.324, 0.025, 0.648)